5
Lattice="5.7832 0.0000 0.0000 0.0000 5.7832 0.0000 0.0000 0.0000 5.7832" Properties=species:S:1:pos:R:3 comment="PBE-GGA CsLa3As, relaxed" polymorph_energy_mev_per_atom=1103 total_magnetization_mub_per_fu=0.00 dos_ef_per_ev_cell=6.70 delta_e_f_mev_per_atom=938 dft_energy_ev_per_atom=-3.12 sg="Pm-3m, No. 221" pbc="T T T"
Cs 0.0000 0.0000 0.0000
La 0.0000 0.0000 2.8916
La 0.0000 2.8916 0.0000
La 2.8916 0.0000 0.0000
As 2.8916 2.8916 2.8916